PBE Th2Sc3Ga4, relaxed; symmetry = Cmce, No. 64; ρ = 7.00 g cm⁻³; final energy = -5.56 eV/atom
1.0
3.208 -7.923 0.000
3.208 7.923 0.000
0.000 0.000 8.187
Th Sc Ga
4 6 8
direct
0.110 0.890 0.913 Th
0.390 0.610 0.413 Th
0.610 0.390 0.587 Th
0.890 0.110 0.087 Th
0.000 0.000 0.500 Sc
0.035 0.465 0.750 Sc
0.465 0.035 0.250 Sc
0.500 0.500 0.000 Sc
0.535 0.965 0.750 Sc
0.965 0.535 0.250 Sc
0.182 0.818 0.548 Ga
0.208 0.292 0.750 Ga
0.292 0.208 0.250 Ga
0.318 0.682 0.048 Ga
0.682 0.318 0.952 Ga
0.708 0.792 0.750 Ga
0.792 0.708 0.250 Ga
0.818 0.182 0.452 Ga

---

PBE ThScGa, relaxed; symmetry = Pnma, No. 62; ρ = 7.74 g cm⁻³; final energy = -6.01 eV/atom
1.0
7.883 0.000 0.000
0.000 4.335 0.000
0.000 0.000 8.712
Th Sc Ga
4 4 4
direct
0.023 0.250 0.164 Th
0.477 0.750 0.664 Th
0.523 0.250 0.336 Th
0.977 0.750 0.836 Th
0.139 0.250 0.558 Sc
0.361 0.750 0.058 Sc
0.639 0.250 0.942 Sc
0.861 0.750 0.442 Sc
0.225 0.750 0.364 Ga
0.275 0.250 0.864 Ga
0.725 0.750 0.136 Ga
0.775 0.250 0.636 Ga

---

Number 1: volume 416.2 Å³ per cell. Number 2: volume 297.7 Å³ per cell.